DFT (GGA-PBEsol) results for crystalline Tl2TcRh at its relaxed geometry.

Lattice parameters (Å, degrees): 2.9501 2.9501 8.7326 90.00 90.00 90.00
Positions (direct):
Tc: 0.5000 0.5000 0.7117
Rh: 0.0000 0.0000 0.5380
Tl: 0.0000 0.0000 0.9594
Tl: 0.5000 0.5000 0.2909

- Crystal system: tetragonal
- SG: P4mm
- Density of states at the Fermi level: 0.777 states/eV per atom
- M_tot: 0.0 μB per formula unit
- DFT total energy: -5.8461 eV/atom
- Formation energy from the elements: 0.320 eV/atom